# 1
Material: ThTePd2
Method: DFT, GGA-PBE
State: optimized geometry

Properties
Uncorrected formation energy   -0.6883 eV/atom
Size of the total moment   0.00 μB/f.u.
E   -5.93 eV per atom

Cell: 4.9999 4.9999 12.1520 Å, 90.00 90.00 120.00°
Space group R-3m (No. 166, hexagonal axes)
Unique sites:
Th (0.0000, 0.0000, 0.0000) (multiplicity 3)
Te (0.0000, 0.0000, 0.5000) (multiplicity 3)
Pd (0.0000, 0.0000, 0.2512) (multiplicity 6)

# 2
Material: ThTe3Pd2
Method: DFT, GGA-PBE
State: optimized geometry

Properties
Uncorrected formation energy   -0.7274 eV/atom
Size of the total moment   0.00 μB/f.u.
E   -5.27 eV per atom

Cell: 7.076 4.344 11.014 Å, 90.00 95.67 90.00°
Space group P2_1/m (No. 11)
Unique sites:
Th (0.222, 0.250, 0.320) (multiplicity 2)
Te (0.151, 0.750, 0.867) (multiplicity 2)
Te (0.208, 0.750, 0.546) (multiplicity 2)
Te (0.431, 0.750, 0.179) (multiplicity 2)
Pd (0.051, 0.750, 0.095) (multiplicity 2)
Pd (0.445, 0.250, 0.574) (multiplicity 2)

# 3
Material: Th6Te12Pd
Method: DFT, GGA-PBE
State: optimized geometry

Properties
Uncorrected formation energy   -1.0367 eV/atom
Size of the total moment   0.00 μB/f.u.
E   -5.64 eV per atom

Cell: 13.8511 13.8511 12.2713 Å, 90.00 90.00 120.00°
Space group R-3 (No. 148, hexagonal axes)
Unique sites:
Th (0.0526, 0.4436, 0.3155) (multiplicity 18)
Te (0.0361, 0.2143, 0.3892) (multiplicity 18)
Te (0.0494, 0.2004, 0.8897) (multiplicity 18)
Pd (0.0000, 0.0000, 0.0000) (multiplicity 3)

# 4
Material: ThTePd
Method: DFT, GGA-PBE
State: optimized geometry

Properties
Offset from the most stable computed form   0.083 eV/atom
Uncorrected formation energy   -0.9083 eV/atom
Size of the total moment   0.00 μB/f.u.
E   -6.16 eV per atom

Cell: 4.5886 4.5886 4.0125 Å, 90.00 90.00 120.00°
Space group P3m1 (No. 156)
Unique sites:
Th (0.0000, 0.0000, 0.0000) (multiplicity 1)
Te (0.6667, 0.3333, 0.5003) (multiplicity 1)
Pd (0.3333, 0.6667, 0.4967) (multiplicity 1)

# 5
Material: ThTePd
Method: DFT, GGA-PBE
State: optimized geometry

Properties
Offset from the most stable computed form   0.000 eV/atom
Uncorrected formation energy   -0.9913 eV/atom
Size of the total moment   0.00 μB/f.u.
E   -6.24 eV per atom

Cell: 4.183 4.183 9.050 Å, 90.00 90.00 90.00°
Space group P4/nmm (No. 129, origin choice 2)
Unique sites:
Th (0.250, 0.250, 0.235) (multiplicity 2)
Te (0.250, 0.250, 0.623) (multiplicity 2)
Pd (0.250, 0.750, 0.000) (multiplicity 2)

# 6
Material: ThTe3Pd
Method: DFT, GGA-PBE
State: optimized geometry

Properties
Offset from the most stable computed form   0.000 eV/atom
Uncorrected formation energy   -0.8439 eV/atom
Size of the total moment   0.00 μB/f.u.
E   -5.25 eV per atom

Cell: 4.401 11.949 10.328 Å, 90.00 90.00 90.00°
Space group Cmcm (No. 63)
Unique sites:
Th (0.000, 0.212, 0.250) (multiplicity 4)
Te (0.000, 0.081, 0.750) (multiplicity 4)
Te (0.000, 0.355, 0.529) (multiplicity 8)
Pd (0.000, 0.000, 0.000) (multiplicity 4)